A geometry-optimized NiHg2Pb structure. Source: Alexandria, functional GGA-PBEsol.

Computed properties:
Crystal system: orthorhombic

Structure (extended XYZ):
```
4
Lattice="-1.5441 2.2865 5.8292 1.5441 -2.2865 5.8292 1.5441 2.2865 -5.8292" Properties=species:S:1:pos:R:3 pbc="T T T"
Ni 0.0000 0.0000 0.0000
Hg 1.5441 0.0000 2.2532
Hg 0.0000 2.2865 3.5760
Pb 0.0000 0.0000 5.8292
```



A geometry-optimized Ni2HgPb structure. Source: Alexandria, functional GGA-PBEsol.

Computed properties:
Crystal system: cubic

Structure (extended XYZ):
```
4
Lattice="0.0000 3.2292 3.2292 3.2292 0.0000 3.2292 3.2292 3.2292 0.0000" Properties=species:S:1:pos:R:3 pbc="T T T"
Ni 0.0000 0.0000 0.0000
Ni 1.6146 1.6146 1.6146
Hg 3.2292 3.2292 3.2292
Pb 4.8438 4.8438 4.8438
```



no.,formation enthalpy at 0 K (eV per atom),energy (eV/atom)
1,0.15,-2.6708
2,0.48,-3.7364